Density functional theory data (GGA-PBE) for a relaxed Na3GaTe crystal.

Cell: 5.875 5.875 5.875 Å, 90.00 90.00 90.00°
Each line ends with the local moment (μB).
Fractional positions:
Te: 0.000 0.000 0.000  0.06
Na: 0.000 0.000 0.500  0.01
Na: 0.000 0.500 0.000  0.01
Ga: 0.500 0.500 0.500  0.26
Na: 0.500 0.000 0.000  0.01

Calculated values
Magnetic moment (μB/atom): 0.299
DOS(E_F) (states/eV/atom): 0.727
Excess energy over the best structure of this formula in the dataset (meV per atom): 0
Formation energy without anion corrections (eV/atom): -0.1465
Space-group type: Pm-3m, No. 221